# 1
Computed, not measured: a relaxed structure of Fe3Co3Ni at the PBE-GGA level of DFT.

Properties
Offset from the most stable computed form (eV per formula unit): 0.00

a = 6.937 Å, b = 6.937 Å, c = 6.937 Å
α = 90.00°, β = 90.00°, γ = 90.00°
Last column: magnetic moment on the atom in μB.
Positions (direct):
Co  0.785  0.715  0.285  1.74
Co  0.598  0.098  0.402  1.63
Co  0.395  0.105  0.895  1.41
Co  0.895  0.395  0.105  1.41
Co  0.285  0.785  0.715  1.74
Co  0.098  0.402  0.598  1.63
Co  0.605  0.605  0.605  1.41
Co  0.715  0.285  0.785  1.74
Co  0.402  0.598  0.098  1.63
Co  0.902  0.902  0.902  1.63
Co  0.105  0.895  0.395  1.41
Co  0.215  0.215  0.215  1.74
Ni  0.083  0.583  0.917  0.75
Ni  0.917  0.083  0.583  0.75
Ni  0.417  0.417  0.417  0.75
Ni  0.583  0.917  0.083  0.75
Fe  0.572  0.300  0.118  2.67
Fe  0.300  0.118  0.572  2.67
Fe  0.428  0.800  0.382  2.67
Fe  0.928  0.700  0.618  2.67
Fe  0.382  0.428  0.800  2.67
Fe  0.800  0.382  0.428  2.67
Fe  0.882  0.072  0.200  2.67
Fe  0.700  0.618  0.928  2.67
Fe  0.118  0.572  0.300  2.67
Fe  0.072  0.200  0.882  2.67
Fe  0.618  0.928  0.700  2.67
Fe  0.200  0.882  0.072  2.67


# 2
Computed, not measured: a relaxed structure of FeCo4Ni7 at the PBE-GGA level of DFT.

Properties
Offset from the most stable computed form (eV per formula unit): 0.00

a = 5.026 Å, b = 6.607 Å, c = 6.628 Å
α = 68.61°, β = 79.20°, γ = 40.50°
Last column: magnetic moment on the atom in μB.
Positions (direct):
Ni  0.999  0.668  0.333  0.69
Ni  0.749  0.503  0.000  0.67
Ni  0.753  0.164  0.335  0.70
Ni  0.500  0.000  0.000  0.65
Ni  0.251  0.497  0.000  0.67
Ni  0.247  0.836  0.665  0.70
Ni  0.001  0.332  0.667  0.69
Fe  0.000  0.000  0.000  2.76
Co  0.507  0.661  0.335  1.69
Co  0.747  0.836  0.665  1.74
Co  0.493  0.339  0.665  1.69
Co  0.253  0.164  0.335  1.74


# 3
Computed, not measured: a relaxed structure of Fe2CoNi9 at the PBE-GGA level of DFT.

a = 3.536 Å, b = 3.536 Å, c = 10.621 Å
α = 90.00°, β = 90.00°, γ = 90.00°
Last column: magnetic moment on the atom in μB.
Positions (direct):
Ni  0.000  0.500  0.166  0.73
Ni  0.500  0.500  0.667  0.72
Ni  0.500  0.000  0.834  0.73
Ni  0.000  0.500  0.500  0.71
Ni  0.500  0.000  0.166  0.73
Ni  0.000  0.500  0.834  0.73
Ni  0.500  0.000  0.500  0.71
Ni  0.500  0.500  0.333  0.72
Ni  0.500  0.500  0.000  0.73
Fe  0.000  0.000  0.333  2.91
Fe  0.000  0.000  0.667  2.91
Co  0.000  0.000  0.000  1.80


# 4
Computed, not measured: a relaxed structure of Fe7CoNi3 at the PBE-GGA level of DFT.

a = 2.522 Å, b = 9.715 Å, c = 10.993 Å
α = 90.00°, β = 90.00°, γ = 97.46°
Last column: magnetic moment on the atom in μB.
Positions (direct):
Ni  0.150  0.301  0.431  0.74
Ni  0.162  0.324  0.750  0.70
Ni  0.850  0.699  0.569  0.74
Ni  0.150  0.301  0.069  0.74
Ni  0.838  0.676  0.250  0.70
Ni  0.850  0.699  0.931  0.74
Fe  0.724  0.448  0.591  2.60
Fe  0.276  0.552  0.091  2.60
Fe  0.276  0.552  0.409  2.60
Fe  0.542  0.084  0.386  2.77
Fe  0.304  0.607  0.750  2.70
Fe  0.458  0.916  0.614  2.77
Fe  0.458  0.916  0.886  2.77
Fe  0.724  0.448  0.909  2.60
Fe  0.696  0.393  0.250  2.70
Fe  0.542  0.084  0.114  2.77
Fe  0.409  0.818  0.095  2.60
Fe  0.409  0.818  0.405  2.60
Fe  0.591  0.182  0.595  2.60
Fe  0.591  0.182  0.905  2.60
Co  0.970  0.939  0.250  1.32
Co  0.030  0.061  0.750  1.32


# 5
Computed, not measured: a relaxed structure of Fe2Co15Ni2 at the PBE-GGA level of DFT.

Properties
Offset from the most stable computed form (eV per formula unit): 0.35

a = 6.153 Å, b = 6.153 Å, c = 6.153 Å
α = 81.12°, β = 81.12°, γ = 81.12°
Last column: magnetic moment on the atom in μB.
Positions (direct):
Co  0.644  0.644  0.156  1.71
Co  0.000  0.500  0.000  1.60
Co  0.156  0.644  0.644  1.71
Co  0.302  0.000  0.698  1.66
Co  0.356  0.844  0.356  1.71
Co  0.500  0.000  0.000  1.60
Co  0.302  0.698  0.000  1.66
Co  0.356  0.356  0.844  1.71
Co  0.844  0.356  0.356  1.71
Co  0.644  0.156  0.644  1.71
Co  0.000  0.000  0.500  1.60
Co  0.000  0.698  0.302  1.66
Co  0.698  0.000  0.302  1.66
Co  0.000  0.302  0.698  1.66
Co  0.698  0.302  0.000  1.66
Fe  0.099  0.099  0.099  2.67
Fe  0.901  0.901  0.901  2.67
Ni  0.692  0.692  0.692  0.79
Ni  0.308  0.308  0.308  0.79


# 6
Computed, not measured: a relaxed structure of FeCo3Ni at the PBE-GGA level of DFT.

Properties
Offset from the most stable computed form (eV per formula unit): 4.25

a = 4.216 Å, b = 4.216 Å, c = 4.216 Å
α = 90.00°, β = 90.00°, γ = 90.00°
Last column: magnetic moment on the atom in μB.
Positions (direct):
Co  0.000  0.000  0.500  2.26
Co  0.500  0.000  0.000  1.47
Co  0.000  0.500  0.000  1.79
Ni  0.000  0.000  0.000  0.95
Fe  0.500  0.500  0.500  3.21


# 7
Computed, not measured: a relaxed structure of FeCo2Ni at the PBE-GGA level of DFT.

Properties
Offset from the most stable computed form (eV per formula unit): 0.01

a = 4.328 Å, b = 4.328 Å, c = 4.327 Å
α = 131.57°, β = 131.57°, γ = 70.92°
Last column: magnetic moment on the atom in μB.
Positions (direct):
Fe  0.500  0.500  0.000  2.67
Co  0.000  0.000  0.000  1.66
Co  0.750  0.250  0.500  1.59
Ni  0.250  0.750  0.500  0.66


# 8
Computed, not measured: a relaxed structure of Fe2Co6Ni3 at the PBE-GGA level of DFT.

a = 2.483 Å, b = 7.817 Å, c = 7.817 Å
α = 57.08°, β = 90.00°, γ = 90.00°
Last column: magnetic moment on the atom in μB.
Positions (direct):
Fe  0.000  0.272  0.728  2.44
Fe  0.000  0.728  0.272  2.44
Co  0.500  0.364  0.953  1.77
Co  0.500  0.953  0.364  1.77
Co  0.500  0.636  0.047  1.77
Co  0.500  0.412  0.412  1.55
Co  0.500  0.047  0.636  1.77
Co  0.500  0.588  0.588  1.55
Ni  0.000  0.263  0.263  0.76
Ni  0.500  0.000  0.000  0.68
Ni  0.000  0.737  0.737  0.76


# 9
Computed, not measured: a relaxed structure of Fe6CoNi3 at the PBE-GGA level of DFT.

Properties
Offset from the most stable computed form (eV per formula unit): 0.93

a = 6.815 Å, b = 6.815 Å, c = 6.815 Å
α = 63.38°, β = 63.38°, γ = 63.38°
Last column: magnetic moment on the atom in μB.
Positions (direct):
Fe  0.503  0.164  0.503  2.29
Fe  0.164  0.503  0.503  2.29
Fe  0.836  0.497  0.497  2.29
Fe  0.497  0.497  0.836  2.29
Fe  0.884  0.258  0.258  2.73
Fe  0.258  0.884  0.258  2.73
Fe  0.258  0.258  0.884  2.73
Fe  0.742  0.742  0.116  2.73
Fe  0.742  0.116  0.742  2.73
Fe  0.116  0.742  0.742  2.73
Fe  0.497  0.836  0.497  2.29
Fe  0.503  0.503  0.164  2.29
Co  0.000  0.000  0.000  1.94
Co  0.500  0.500  0.500  1.51
Ni  0.495  0.859  0.859  0.73
Ni  0.505  0.141  0.141  0.73
Ni  0.141  0.505  0.141  0.73
Ni  0.859  0.495  0.859  0.73
Ni  0.141  0.141  0.505  0.73
Ni  0.859  0.859  0.495  0.73


# 10
Computed, not measured: a relaxed structure of FeCo2Ni5 at the PBE-GGA level of DFT.

Properties
Offset from the most stable computed form (eV per formula unit): 0.00

a = 3.511 Å, b = 5.006 Å, c = 10.024 Å
α = 90.00°, β = 90.00°, γ = 90.00°
Last column: magnetic moment on the atom in μB.
Positions (direct):
Co  0.500  0.746  0.875  1.73
Co  0.500  0.754  0.375  1.73
Co  0.500  0.254  0.125  1.73
Co  0.500  0.246  0.625  1.73
Ni  0.000  0.506  0.249  0.74
Ni  0.000  0.000  0.000  0.74
Ni  0.500  0.255  0.375  0.73
Ni  0.500  0.755  0.125  0.73
Ni  0.500  0.745  0.625  0.73
Ni  0.000  0.494  0.751  0.74
Ni  0.000  0.994  0.749  0.74
Ni  0.000  0.006  0.251  0.74
Ni  0.500  0.245  0.875  0.73
Ni  0.000  0.500  0.500  0.74
Fe  0.000  0.500  0.000  2.73
Fe  0.000  0.000  0.500  2.73


# 11
Computed, not measured: a relaxed structure of Fe5Co2Ni3 at the PBE-GGA level of DFT.

a = 3.626 Å, b = 4.303 Å, c = 8.969 Å
α = 63.75°, β = 78.34°, γ = 65.08°
Last column: magnetic moment on the atom in μB.
Positions (direct):
Co  0.693  0.718  0.897  1.59
Co  0.307  0.282  0.103  1.59
Fe  0.000  0.000  0.000  2.71
Fe  0.796  0.808  0.599  2.65
Fe  0.391  0.419  0.799  2.69
Fe  0.204  0.192  0.401  2.65
Fe  0.609  0.581  0.201  2.69
Ni  0.908  0.881  0.303  0.68
Ni  0.092  0.119  0.697  0.68
Ni  0.500  0.500  0.500  0.72


# 12
Computed, not measured: a relaxed structure of FeCo5Ni8 at the PBE-GGA level of DFT.

a = 5.977 Å, b = 5.977 Å, c = 5.977 Å
α = 109.89°, β = 108.64°, γ = 109.89°
Last column: magnetic moment on the atom in μB.
Positions (direct):
Ni  0.657  0.403  0.932  0.70
Ni  0.068  0.725  0.471  0.70
Ni  0.746  0.275  0.343  0.70
Ni  0.561  0.934  0.859  0.74
Ni  0.141  0.702  0.075  0.74
Ni  0.925  0.066  0.627  0.74
Ni  0.373  0.298  0.439  0.74
Ni  0.529  0.597  0.254  0.70
Fe  0.250  0.500  0.750  2.96
Co  0.030  0.304  0.115  1.76
Co  0.811  0.696  0.727  1.76
Co  0.273  0.084  0.970  1.76
Co  0.500  0.000  0.500  1.80
Co  0.885  0.916  0.189  1.76


| no. | ΔE_f (eV/atom) |
| --- | --- |
| 1 | 0.188 |
| 2 | -0.019 |
| 3 | -0.051 |
| 4 | 0.166 |
| 5 | 0.212 |
| 6 | 1.213 |
| 7 | -0.024 |
| 8 | 0.189 |
| 9 | 0.194 |
| 10 | -0.019 |
| 11 | -0.022 |
| 12 | 0.257 |